Record 1
# DyReBi2O8

DyReBi2O8 after structural relaxation (PBE, Alexandria via LeMat-Bulk).

CIF file:
```
data_DyReBi2O8
_symmetry_space_group_name_H-M 'P 1'
_symmetry_Int_Tables_number 1
_cell_length_a 5.229
_cell_length_b 6.713
_cell_length_c 5.231
_cell_angle_alpha 90.00
_cell_angle_beta 90.60
_cell_angle_gamma 90.00
loop_
_symmetry_equiv_pos_as_xyz
'x,y,z'
loop_
_atom_site_label
_atom_site_type_symbol
_atom_site_fract_x
_atom_site_fract_y
_atom_site_fract_z
Dy1 Dy 0.000 0.000 0.000
Re1 Re 0.000 0.500 0.000
Bi1 Bi 0.500 0.252 0.500
Bi2 Bi 0.500 0.748 0.500
O1 O 0.179 0.286 0.175
O2 O 0.179 0.714 0.175
O3 O 0.247 0.500 0.748
O4 O 0.304 0.000 0.693
O5 O 0.696 0.000 0.307
O6 O 0.753 0.500 0.252
O7 O 0.821 0.286 0.825
O8 O 0.821 0.714 0.825
```

Values from the calculation:
The calculated density comes out at 8.09 g/cm³. As for the formation energy from raw total energies: -1.80 eV/atom. The volume is 15.3 Å³ per atom.

***

Record 2
# Ac4TlHgO

Ac4TlHgO after structural relaxation (PBE, Alexandria via LeMat-Bulk).

CIF file:
```
data_Ac4TlHgO
_symmetry_space_group_name_H-M 'P 1'
_symmetry_Int_Tables_number 1
_cell_length_a 9.645
_cell_length_b 9.645
_cell_length_c 7.267
_cell_angle_alpha 90.00
_cell_angle_beta 90.00
_cell_angle_gamma 135.87
loop_
_symmetry_equiv_pos_as_xyz
'x,y,z'
loop_
_atom_site_label
_atom_site_type_symbol
_atom_site_fract_x
_atom_site_fract_y
_atom_site_fract_z
Ac1 Ac 0.000 0.500 0.000
Ac2 Ac 0.000 0.500 0.500
Ac3 Ac 0.061 0.939 0.750
Ac4 Ac 0.423 0.577 0.750
Ac5 Ac 0.500 0.000 0.000
Ac6 Ac 0.500 0.000 0.500
Ac7 Ac 0.577 0.423 0.250
Ac8 Ac 0.939 0.061 0.250
Tl1 Tl 0.387 0.613 0.250
Tl2 Tl 0.613 0.387 0.750
Hg1 Hg 0.119 0.881 0.250
Hg2 Hg 0.881 0.119 0.750
O1 O 0.277 0.723 0.750
O2 O 0.723 0.277 0.250
```

Values from the calculation:
The calculated density comes out at 9.38 g/cm³. As for the formation energy from raw total energies: -0.95 eV/atom. The volume is 33.6 Å³ per atom.

***

Record 3
# Dy2Te3Pd

Dy2Te3Pd after structural relaxation (PBE, Alexandria via LeMat-Bulk).

CIF file:
```
data_Dy2Te3Pd
_symmetry_space_group_name_H-M 'P 1'
_symmetry_Int_Tables_number 1
_cell_length_a 12.516
_cell_length_b 4.319
_cell_length_c 11.891
_cell_angle_alpha 90.00
_cell_angle_beta 90.00
_cell_angle_gamma 90.00
loop_
_symmetry_equiv_pos_as_xyz
'x,y,z'
loop_
_atom_site_label
_atom_site_type_symbol
_atom_site_fract_x
_atom_site_fract_y
_atom_site_fract_z
Dy1 Dy 0.037 0.250 0.190
Dy2 Dy 0.207 0.250 0.480
Dy3 Dy 0.293 0.750 0.980
Dy4 Dy 0.463 0.750 0.690
Dy5 Dy 0.537 0.250 0.310
Dy6 Dy 0.707 0.250 0.020
Dy7 Dy 0.793 0.750 0.520
Dy8 Dy 0.963 0.750 0.810
Te1 Te 0.042 0.750 0.381
Te2 Te 0.113 0.250 0.937
Te3 Te 0.190 0.750 0.674
Te4 Te 0.310 0.250 0.174
Te5 Te 0.387 0.750 0.437
Te6 Te 0.458 0.250 0.881
Te7 Te 0.542 0.750 0.119
Te8 Te 0.613 0.250 0.563
Te9 Te 0.690 0.750 0.826
Te10 Te 0.810 0.250 0.326
Te11 Te 0.887 0.750 0.063
Te12 Te 0.958 0.250 0.619
Pd1 Pd 0.210 0.750 0.246
Pd2 Pd 0.290 0.250 0.746
Pd3 Pd 0.710 0.750 0.254
Pd4 Pd 0.790 0.250 0.754
```

Values from the calculation:
The calculated density comes out at 8.41 g/cm³. As for the formation energy from raw total energies: -1.19 eV/atom. The volume is 26.8 Å³ per atom.

***

Record 4
# LiTm2Pu

LiTm2Pu after structural relaxation (PBE, Alexandria via LeMat-Bulk).

CIF file:
```
data_LiTm2Pu
_symmetry_space_group_name_H-M 'P 1'
_symmetry_Int_Tables_number 1
_cell_length_a 3.433
_cell_length_b 3.433
_cell_length_c 9.072
_cell_angle_alpha 90.00
_cell_angle_beta 90.00
_cell_angle_gamma 90.00
loop_
_symmetry_equiv_pos_as_xyz
'x,y,z'
loop_
_atom_site_label
_atom_site_type_symbol
_atom_site_fract_x
_atom_site_fract_y
_atom_site_fract_z
Li1 Li 0.000 0.000 0.000
Tm1 Tm 0.500 0.500 0.237
Tm2 Tm 0.500 0.500 0.763
Pu1 Pu 0.000 0.000 0.500
```

Values from the calculation:
The calculated density comes out at 9.15 g/cm³. The volume is 26.7 Å³ per atom. Its energy of formation from the pure elements is 149.7 meV/atom.